Here is a geometry-optimized BeFe structure from the Alexandria database. Energies are from GGA-PBE.

a = 5.8339 Å, b = 14.6567 Å, c = 2.3403 Å
α = 90.00°, β = 113.54°, γ = 90.00°
Last column: nearest neighbours and their distance in Å.
Space group C2/c (No. 15)
Unique sites:
Be1 0.2110 0.1482 0.4619 (multiplicity 8)  6 Fe 2.25-2.38, 3 Be 2.26-2.34
Fe1 0.0000 0.2580 0.7500 (multiplicity 4)  8 Be 2.28-2.38, 3 Fe 2.34-2.52
Fe2 0.0000 0.4300 0.7500 (multiplicity 4)  4 Be 2.25, 5 Fe 2.34-2.52

Output
V, Å³/f.u.: 22.9
VASP energy, eV per atom: -5.886
E_form, meV/atom: 209